{
  "formula": "NaLaTl2I6",
  "functional": "PBE-GGA",
  "state": "optimized geometry",
  "lattice_angstrom": [[-5.1541, -5.4984, 4.0667], [-4.9346, -5.3655, -4.4901], [2.0343, -8.6371, -0.0804]],
  "species": ["I", "I", "I", "I", "I", "I", "Tl", "Tl", "La", "Na"],
  "frac_coords": [[0.0826, 0.4702, 0.7635], [0.4701, 0.6838, 0.7634], [0.6838, 0.0826, 0.7635], [0.1824, 0.9558, 0.2643], [0.9560, 0.5972, 0.2645], [0.5972, 0.1824, 0.2645], [0.5211, 0.5211, 0.4368], [0.0254, 0.0256, 0.9236], [0.8235, 0.8235, 0.5295], [0.3195, 0.3194, 0.0417]],
  "vol_a3_per_atom": 46.78,
  "spacegroup": "R3",
  "raw_formation_energy_ev_per_fu": -11.2,
  "magnetic_moment_mub_per_atom": 0.000,
  "crystal_system": "trigonal"
}